[1]
Computed, not measured: a relaxed AcPmAs crystal at the GGA-PBE level of DFT.

```
AcPmAs
1.0
4.2209 0.0000 0.0000
-2.1104 3.6554 0.0000
0.0000 0.0000 7.0154
Ac Pm As
1 1 1
direct
0.0000 0.0000 0.0000 Ac
0.6667 0.3333 0.4907 Pm
0.3333 0.6667 0.7193 As
```

As for the distance to the lowest polymorph of the same formula: 0 meV per atom. The calculation puts the total energy at -5.33 eV per atom.

[2]
Computed, not measured: a relaxed Ac3PmAs crystal at the GGA-PBE level of DFT.

```
Ac3PmAs
1.0
6.0410 0.0000 0.0000
0.0000 6.0410 0.0000
0.0000 0.0000 6.0410
Ac Pm As
3 1 1
direct
0.0000 0.0000 0.5000 Ac
0.0000 0.5000 0.0000 Ac
0.5000 0.0000 0.0000 Ac
0.5000 0.5000 0.5000 Pm
0.0000 0.0000 0.0000 As
```

The calculation puts the total energy at -4.63 eV per atom.

[3]
Computed, not measured: a relaxed AcPmAs crystal at the GGA-PBE level of DFT.

```
AcPmAs
1.0
-1.9197 1.9197 6.5640
1.9197 -1.9197 6.5640
1.9197 1.9197 -6.5640
Ac Pm As
1 1 1
direct
0.0000 0.0000 0.0000 Ac
0.7397 0.7397 0.0000 Pm
0.3529 0.3529 0.0000 As
```

As for the distance to the lowest polymorph of the same formula: 126 meV per atom. The calculation puts the total energy at -5.21 eV per atom.

[4]
Computed, not measured: a relaxed Ac5PmAs6 crystal at the GGA-PBE level of DFT.

```
Ac5PmAs6
1.0
3.8995 -6.7529 0.0000
3.8995 6.7529 0.0000
-2.6012 0.0000 7.3512
Ac Pm As
5 1 6
direct
0.0000 0.0000 0.0000 Ac
0.1663 0.8337 0.5000 Ac
0.3326 0.6674 0.0000 Ac
0.6674 0.3326 0.0000 Ac
0.8337 0.1663 0.5000 Ac
0.5000 0.5000 0.5000 Pm
0.0939 0.4186 0.2556 As
0.2574 0.2574 0.7450 As
0.4186 0.0939 0.2556 As
0.5814 0.9061 0.7444 As
0.7426 0.7426 0.2550 As
0.9061 0.5814 0.7444 As
```

The calculation puts the total energy at -5.91 eV per atom.

[5]
Computed, not measured: a relaxed AcPmAs2 crystal at the GGA-PBE level of DFT.

```
AcPmAs2
1.0
2.1672 1.2513 7.5156
-2.1672 1.2513 7.5156
0.0000 -2.5025 7.5156
Ac Pm As
1 1 2
direct
0.0000 0.0000 0.0000 Ac
0.8292 0.8292 0.8292 Pm
0.4177 0.4177 0.4177 As
0.5763 0.5763 0.5763 As
```

As for the distance to the lowest polymorph of the same formula: 156 meV per atom. The calculation puts the total energy at -5.87 eV per atom.

[6]
Computed, not measured: a relaxed AcPmAs2 crystal at the GGA-PBE level of DFT.

```
AcPmAs2
1.0
3.7621 0.0000 0.0000
0.0000 3.7621 0.0000
0.0000 0.0000 7.5473
Ac Pm As
1 1 2
direct
0.0000 0.0000 0.0000 Ac
0.0000 0.0000 0.5000 Pm
0.5000 0.5000 0.2654 As
0.5000 0.5000 0.7346 As
```

As for the distance to the lowest polymorph of the same formula: 395 meV per atom. The calculation puts the total energy at -5.63 eV per atom.

[7]
Computed, not measured: a relaxed AcPmAs2 crystal at the GGA-PBE level of DFT.

```
AcPmAs2
1.0
0.0000 3.7722 3.7722
3.7722 0.0000 3.7722
3.7722 3.7722 0.0000
Ac Pm As
1 1 2
direct
0.0000 0.0000 0.0000 Ac
0.5000 0.5000 0.5000 Pm
0.2500 0.2500 0.2500 As
0.7500 0.7500 0.7500 As
```

As for the distance to the lowest polymorph of the same formula: 395 meV per atom. The calculation puts the total energy at -5.63 eV per atom.

[8]
Computed, not measured: a relaxed AcPmPr2As4 crystal at the GGA-PBE level of DFT.

```
AcPmPr2As4
1.0
7.5410 0.0000 0.0000
0.0000 4.3563 0.0000
-2.5047 0.0000 7.1144
Ac Pm Pr As
1 1 2 4
direct
0.0000 0.0000 0.0000 Ac
0.0000 0.5000 0.5000 Pm
0.5000 0.0000 0.5000 Pr
0.5000 0.5000 0.0000 Pr
0.2512 0.0000 0.7435 As
0.2565 0.5000 0.2595 As
0.7435 0.5000 0.7405 As
0.7488 0.0000 0.2565 As
```

The calculation puts the total energy at -6.11 eV per atom.

| no. | energy of formation from the pure elements (eV/f.u.) | calculated volume (Å³/f.u.) |
| --- | --- | --- |
| 1 | -2.48 | 108.24 |
| 2 | -1.41 | 220.46 |
| 3 | -2.11 | 96.77 |
| 4 | -17.71 | 387.15 |
| 5 | -5.31 | 122.28 |
| 6 | -4.36 | 106.82 |
| 7 | -4.36 | 107.35 |
| 8 | -11.85 | 233.71 |